1.
Below is an optimized crystal structure of V3Os, with properties calculated at the GGA-PBEsol level.

Cell: 4.1924 4.1924 4.1924 Å, 60.00 60.00 60.00°
With the nearest neighbours (Å) after each atom.
Element x y z (fractional)
V1 0.7500 0.7500 0.7500  4 Os 2.57, 4 V 2.57
V2 0.5000 0.5000 0.5000  8 V 2.57
V3 0.2500 0.2500 0.2500  4 V 2.57, 4 Os 2.57
Os1 0.0000 0.0000 0.0000  8 V 2.57

Calculated values
Total energy (eV/atom): -10.64
DFT formation energy (meV per atom): -364
ρ (g/cm³): 10.9

=====

2.
Below is an optimized crystal structure of V2OsW, with properties calculated at the GGA-PBEsol level.

Cell: 4.2638 4.2638 4.2638 Å, 60.00 60.00 60.00°
With the nearest neighbours (Å) after each atom.
Element x y z (fractional)
V1 0.2500 0.2500 0.2500  4 W 2.61, 4 Os 2.61
V2 0.7500 0.7500 0.7500  4 W 2.61, 4 Os 2.61
W1 0.0000 0.0000 0.0000  8 V 2.61
Os1 0.5000 0.5000 0.5000  8 V 2.61

Calculated values
Total energy (eV/atom): -11.58
DFT formation energy (meV per atom): -255
ρ (g/cm³): 14.4

=====

3.
Below is an optimized crystal structure of Os3W, with properties calculated at the GGA-PBEsol level.

Cell: 4.7588 5.4683 13.2765 Å, 90.00 90.00 90.00°
With the nearest neighbours (Å) after each atom.
Element x y z (fractional)
Os1 0.5043 0.2491 0.0000  4 W 2.68-2.76, 8 Os 2.71-2.77
Os2 0.8352 0.2481 0.8342  8 Os 2.71-2.75, 4 W 2.71-2.78
Os3 0.1648 0.7481 0.6658  8 Os 2.71-2.75, 4 W 2.71-2.78
Os4 0.4957 0.7491 0.5000  4 W 2.68-2.76, 8 Os 2.71-2.77
Os5 0.4957 0.2509 0.5000  4 W 2.68-2.76, 8 Os 2.71-2.77
Os6 0.3377 0.0000 0.1660  4 W 2.71-2.75, 8 Os 2.71-2.75
Os7 0.3377 0.0000 0.8340  4 W 2.71-2.75, 8 Os 2.71-2.75
Os8 0.5043 0.7509 0.0000  4 W 2.68-2.76, 8 Os 2.71-2.77
Os9 0.0007 0.0000 0.5000  4 W 2.69-2.73, 8 Os 2.71-2.77
Os10 0.8352 0.2481 0.1658  8 Os 2.71-2.75, 4 W 2.71-2.78
Os11 0.1648 0.7481 0.3342  8 Os 2.71-2.75, 4 W 2.71-2.78
Os12 0.6623 0.5000 0.3340  4 W 2.71-2.75, 8 Os 2.71-2.75
Os13 0.1648 0.2519 0.3342  8 Os 2.71-2.75, 4 W 2.71-2.78
Os14 0.1648 0.2519 0.6658  8 Os 2.71-2.75, 4 W 2.71-2.78
Os15 0.8352 0.7519 0.1658  8 Os 2.71-2.75, 4 W 2.71-2.78
Os16 0.9993 0.5000 0.0000  4 W 2.69-2.73, 8 Os 2.71-2.77
Os17 0.8352 0.7519 0.8342  8 Os 2.71-2.75, 4 W 2.71-2.78
Os18 0.6623 0.5000 0.6660  4 W 2.71-2.75, 8 Os 2.71-2.75
W1 0.3376 0.5000 0.1627  12 Os 2.68-2.78
W2 0.9920 0.5000 0.5000  12 Os 2.71-2.76
W3 0.6624 0.0000 0.3373  12 Os 2.68-2.78
W4 0.0080 0.0000 0.0000  12 Os 2.71-2.76
W5 0.6624 0.0000 0.6627  12 Os 2.68-2.78
W6 0.3376 0.5000 0.8373  12 Os 2.68-2.78

Calculated values
Total energy (eV/atom): -12.60
DFT formation energy (meV per atom): 13
ρ (g/cm³): 21.8

=====

4.
Below is an optimized crystal structure of Os3W, with properties calculated at the GGA-PBEsol level.

Cell: 2.7402 4.7241 4.7376 Å, 99.63 90.00 106.86°
With the nearest neighbours (Å) after each atom.
Element x y z (fractional)
W1 0.5000 0.0000 0.0000  10 Os 2.74-2.76, 2 W 2.74
Os1 0.0000 0.0000 0.5000  8 Os 2.70-2.74, 4 W 2.74
Os2 0.7482 0.4964 0.7399  9 Os 2.66-2.81, 3 W 2.74-2.76
Os3 0.2518 0.5036 0.2601  9 Os 2.66-2.81, 3 W 2.74-2.76

Calculated values
Total energy (eV/atom): -12.52
DFT formation energy (meV per atom): 98
ρ (g/cm³): 21.7

=====

5.
Below is an optimized crystal structure of Os3W, with properties calculated at the GGA-PBEsol level.

Cell: 2.7627 4.3749 4.7550 Å, 90.00 90.00 90.00°
With the nearest neighbours (Å) after each atom.
Element x y z (fractional)
Os1 0.5000 0.5000 0.8383  8 Os 2.69-2.76, 4 W 2.73-2.77
Os2 0.0000 0.0000 0.9954  10 Os 2.69-2.77, 2 W 2.71
Os3 0.5000 0.0000 0.5005  4 W 2.71, 8 Os 2.71-2.77
W1 0.0000 0.5000 0.3325  10 Os 2.71-2.77, 2 W 2.76

Calculated values
Total energy (eV/atom): -12.63
DFT formation energy (meV per atom): -20
ρ (g/cm³): 21.8

=====

6.
Below is an optimized crystal structure of Os3W, with properties calculated at the GGA-PBEsol level.

Cell: 4.3876 5.5014 5.5015 Å, 60.00 90.00 90.00°
With the nearest neighbours (Å) after each atom.
Element x y z (fractional)
W1 0.7500 0.5865 0.8270  10 Os 2.70-2.77, 2 W 2.74
W2 0.2500 0.4135 0.1730  10 Os 2.70-2.77, 2 W 2.74
Os1 0.7500 0.0816 0.3294  8 Os 2.70-2.79, 4 W 2.70-2.77
Os2 0.7500 0.5890 0.3294  8 Os 2.70-2.79, 4 W 2.70-2.77
Os3 0.2500 0.9187 0.1626  10 Os 2.69-2.79, 2 W 2.75
Os4 0.2500 0.9184 0.6706  8 Os 2.70-2.79, 4 W 2.70-2.77
Os5 0.2500 0.4110 0.6706  8 Os 2.70-2.79, 4 W 2.70-2.77
Os6 0.7500 0.0813 0.8374  10 Os 2.69-2.79, 2 W 2.75

Calculated values
Total energy (eV/atom): -12.62
DFT formation energy (meV per atom): -3
ρ (g/cm³): 21.8

=====

7.
Below is an optimized crystal structure of Os3W, with properties calculated at the GGA-PBEsol level.

Cell: 3.8583 3.8583 3.8583 Å, 90.00 90.00 90.00°
With the nearest neighbours (Å) after each atom.
Element x y z (fractional)
Os1 0.5000 0.0000 0.0000  4 W 2.73, 8 Os 2.73
Os2 0.0000 0.0000 0.5000  4 W 2.73, 8 Os 2.73
Os3 0.0000 0.5000 0.0000  4 W 2.73, 8 Os 2.73
W1 0.5000 0.5000 0.5000  12 Os 2.73

Calculated values
Total energy (eV/atom): -12.61
DFT formation energy (meV per atom): 6
ρ (g/cm³): 21.8

=====

8.
Below is an optimized crystal structure of Os3W, with properties calculated at the GGA-PBEsol level.

Cell: 3.8558 3.8558 8.1981 Å, 103.60 103.60 90.00°
With the nearest neighbours (Å) after each atom.
Element x y z (fractional)
Os1 0.7500 0.2500 0.5000  8 Os 2.72-2.73, 4 W 2.74
Os2 0.5000 0.0000 0.0000  4 W 2.72, 8 Os 2.73-2.74
Os3 0.0000 0.5000 0.0000  4 W 2.72, 8 Os 2.73-2.74
Os4 0.1255 0.1255 0.2510  8 Os 2.72-2.74, 4 W 2.73
Os5 0.8745 0.8745 0.7490  8 Os 2.72-2.74, 4 W 2.73
Os6 0.2500 0.7500 0.5000  8 Os 2.72-2.73, 4 W 2.74
W1 0.3762 0.3762 0.7524  12 Os 2.72-2.74
W2 0.6238 0.6238 0.2476  12 Os 2.72-2.74

Calculated values
Total energy (eV/atom): -12.59
DFT formation energy (meV per atom): 26
ρ (g/cm³): 21.8

=====

9.
Below is an optimized crystal structure of OsW3, with properties calculated at the GGA-PBEsol level.

Cell: 2.7327 5.1646 5.1646 Å, 116.96 100.16 100.16°
With the nearest neighbours (Å) after each atom.
Element x y z (fractional)
Os1 0.0000 0.0000 0.0000  6 W 2.70, 2 Os 2.73
W1 0.5000 0.0000 0.5000  6 W 2.70-2.73, 2 Os 2.70
W2 0.5000 0.5000 0.0000  2 Os 2.70, 6 W 2.70-2.73
W3 0.0000 0.5000 0.5000  6 W 2.70-2.73, 2 Os 2.70

Calculated values
Total energy (eV/atom): -13.24
DFT formation energy (meV per atom): 172
ρ (g/cm³): 20.1

=====

10.
Below is an optimized crystal structure of OsW8, with properties calculated at the GGA-PBEsol level.

Cell: 3.1497 6.8484 6.8484 Å, 86.97 76.71 76.71°
With the nearest neighbours (Å) after each atom.
Element x y z (fractional)
W1 0.0000 0.6682 0.3318  8 W 2.71-2.74
W2 0.0000 0.3318 0.6682  8 W 2.71-2.74
W3 0.3318 0.6682 0.6682  8 W 2.71-2.74
W4 0.6677 0.0000 0.6647  6 W 2.70-2.71, 2 Os 2.73
W5 0.6682 0.3318 0.3318  8 W 2.71-2.74
W6 0.3323 0.3353 0.0000  6 W 2.70-2.71, 2 Os 2.73
W7 0.6677 0.6647 0.0000  6 W 2.70-2.71, 2 Os 2.73
W8 0.3323 0.0000 0.3353  6 W 2.70-2.71, 2 Os 2.73
Os1 0.0000 0.0000 0.0000  8 W 2.73

Calculated values
Total energy (eV/atom): -13.54
DFT formation energy (meV per atom): 94
ρ (g/cm³): 19.7

=====

11.
Below is an optimized crystal structure of Os4W11, with properties calculated at the GGA-PBEsol level.

Cell: 4.9751 9.6310 9.6310 Å, 90.00 90.00 90.00°
With the nearest neighbours (Å) after each atom.
Element x y z (fractional)
W1 0.0000 0.6312 0.0351  2 W 2.62-2.65, 4 Os 2.70-2.73
W2 0.0000 0.8982 0.1018  5 W 2.65-2.85, 4 Os 2.95
W3 0.0000 0.0351 0.6312  2 W 2.62-2.65, 4 Os 2.70-2.73
W4 0.0000 0.5000 0.5000  4 Os 2.61, 8 W 2.79-2.85
W5 0.0000 0.1018 0.8982  5 W 2.65-2.85, 4 Os 2.95
W6 0.5000 0.3982 0.3982  5 W 2.65-2.85, 4 Os 2.95
W7 0.5000 0.5351 0.8688  2 W 2.62-2.65, 4 Os 2.70-2.73
W8 0.5000 0.6018 0.6018  5 W 2.65-2.85, 4 Os 2.95
W9 0.5000 0.4649 0.1312  2 W 2.62-2.65, 4 Os 2.70-2.73
W10 0.5000 0.0000 0.0000  4 Os 2.61, 8 W 2.79-2.85
W11 0.7501 0.1832 0.1832  2 W 2.49, 2 Os 2.75
W12 0.0000 0.3688 0.9649  2 W 2.62-2.65, 4 Os 2.70-2.73
W13 0.2499 0.8168 0.8168  2 W 2.49, 2 Os 2.75
W14 0.2501 0.6832 0.3168  2 W 2.49, 2 Os 2.75
W15 0.7501 0.8168 0.8168  2 W 2.49, 2 Os 2.75
W16 0.2501 0.3168 0.6832  2 W 2.49, 2 Os 2.75
W17 0.7499 0.3168 0.6832  2 W 2.49, 2 Os 2.75
W18 0.7499 0.6832 0.3168  2 W 2.49, 2 Os 2.75
W19 0.5000 0.8688 0.5351  2 W 2.62-2.65, 4 Os 2.70-2.73
W20 0.0000 0.9649 0.3688  2 W 2.62-2.65, 4 Os 2.70-2.73
W21 0.5000 0.1312 0.4649  2 W 2.62-2.65, 4 Os 2.70-2.73
W22 0.2499 0.1832 0.1832  2 W 2.49, 2 Os 2.75
Os1 0.0000 0.4326 0.2373  9 W 2.61-2.82, 1 Os 2.66
Os2 0.5000 0.0674 0.7373  9 W 2.61-2.82, 1 Os 2.66
Os3 0.0000 0.5674 0.7627  9 W 2.61-2.82, 1 Os 2.66
Os4 0.5000 0.9326 0.2627  9 W 2.61-2.82, 1 Os 2.66
Os5 0.0000 0.7627 0.5674  9 W 2.61-2.82, 1 Os 2.66
Os6 0.5000 0.7373 0.0674  9 W 2.61-2.82, 1 Os 2.66
Os7 0.0000 0.2373 0.4326  9 W 2.61-2.82, 1 Os 2.66
Os8 0.5000 0.2627 0.9326  9 W 2.61-2.82, 1 Os 2.66

Calculated values
Total energy (eV/atom): -13.34
DFT formation energy (meV per atom): 43
ρ (g/cm³): 20.0

=====

12.
Below is an optimized crystal structure of OsW3, with properties calculated at the GGA-PBEsol level.

Cell: 4.4229 4.4229 4.4229 Å, 60.00 60.00 60.00°
With the nearest neighbours (Å) after each atom.
Element x y z (fractional)
W1 0.2500 0.2500 0.2500  4 W 2.71, 4 Os 2.71
W2 0.5000 0.5000 0.5000  8 W 2.71
W3 0.7500 0.7500 0.7500  4 W 2.71, 4 Os 2.71
Os1 0.0000 0.0000 0.0000  8 W 2.71

Calculated values
Total energy (eV/atom): -13.21
DFT formation energy (meV per atom): 200
ρ (g/cm³): 20.1

=====

13.
Below is an optimized crystal structure of Os3W, with properties calculated at the GGA-PBEsol level.

Cell: 4.3756 5.4994 5.4994 Å, 120.00 90.00 90.00°
With the nearest neighbours (Å) after each atom.
Element x y z (fractional)
Os1 0.7500 0.3325 0.1662  8 Os 2.70-2.76, 4 W 2.71-2.75
Os2 0.2500 0.1662 0.8338  8 Os 2.70-2.76, 4 W 2.71-2.75
Os3 0.7500 0.8338 0.1662  8 Os 2.70-2.76, 4 W 2.71-2.75
Os4 0.2500 0.1662 0.3325  8 Os 2.70-2.76, 4 W 2.71-2.75
Os5 0.7500 0.8338 0.6675  8 Os 2.70-2.76, 4 W 2.71-2.75
Os6 0.2500 0.6675 0.8338  8 Os 2.70-2.76, 4 W 2.71-2.75
W1 0.7500 0.3333 0.6667  12 Os 2.71-2.75
W2 0.2500 0.6667 0.3333  12 Os 2.71-2.75

Calculated values
Total energy (eV/atom): -12.67
DFT formation energy (meV per atom): -60
ρ (g/cm³): 21.9

=====

14.
Below is an optimized crystal structure of Os3W, with properties calculated at the GGA-PBEsol level.

Cell: 2.7517 4.7692 5.1631 Å, 117.51 105.45 90.00°
With the nearest neighbours (Å) after each atom.
Element x y z (fractional)
Os1 0.7518 0.7508 0.5035  3 W 2.68-2.72, 9 Os 2.69-2.75
Os2 0.2482 0.2473 0.4965  3 W 2.68-2.72, 9 Os 2.69-2.75
Os3 0.5000 0.1661 0.0000  8 Os 2.69-2.75, 4 W 2.74-2.77
W1 0.0000 0.6692 0.0000  10 Os 2.68-2.77, 2 W 2.75

Calculated values
Total energy (eV/atom): -12.65
DFT formation energy (meV per atom): -33
ρ (g/cm³): 21.9